Entry from Alexandria: an optimized crystal structure of Cs2RbSCl (GGA-PBE).

```
Cs2RbSCl
1.0
4.939 0.000 0.000
-2.470 7.942 0.000
0.000 0.000 11.581
Cs Rb S Cl
4 2 2 2
direct
0.637 0.274 0.560
0.363 0.726 0.440
0.363 0.726 0.060
0.637 0.274 0.940
0.910 0.821 0.750
0.090 0.179 0.250
0.000 0.000 0.500
0.000 0.000 0.000
0.268 0.536 0.750
0.732 0.464 0.250
```

SG ... No. 63
Fermi-level density of states ... 0.00 states/eV/f.u.
Formation energy without anion corrections ... -6.687 eV per formula unit
Offset from the most stable computed form ... 0 meV per atom



Entry from Alexandria: an optimized crystal structure of CsRbSCl (GGA-PBE).

```
CsRbSCl
1.0
-3.305 3.978 2.794
0.425 0.600 5.832
2.492 4.808 2.286
Cs S Rb Cl
1 1 1 1
direct
0.750 0.750 0.750
0.000 0.000 0.000
0.250 0.250 0.250
0.500 0.500 0.500
```

SG ... No. 216
Fermi-level density of states ... 8.98 states/eV/f.u.
Formation energy without anion corrections ... -4.296 eV per formula unit



Entry from Alexandria: an optimized crystal structure of Cs2RbSCl (GGA-PBE).

```
Cs2RbSCl
1.0
-4.962 3.880 2.195
-2.207 -4.992 3.835
3.641 1.999 4.698
Cs S Rb Cl
2 1 1 1
direct
0.000 0.500 0.000
0.500 0.000 0.000
0.000 0.000 0.000
0.000 0.000 0.500
0.500 0.500 0.500
```

SG ... No. 123
Formation energy without anion corrections ... -5.984 eV per formula unit
Offset from the most stable computed form ... 140 meV per atom



Entry from Alexandria: an optimized crystal structure of Cs2RbSbCl6 (GGA-PBE).

```
Cs2RbSbCl6
1.0
8.205 0.000 0.000
4.102 7.105 0.000
4.102 2.368 6.699
Cs Rb Sb Cl
2 1 1 6
direct
0.750 0.750 0.750
0.250 0.250 0.250
0.500 0.500 0.500
0.000 0.000 0.000
0.770 0.230 0.230
0.230 0.230 0.770
0.230 0.770 0.770
0.230 0.770 0.230
0.770 0.230 0.770
0.770 0.770 0.230
```

SG ... No. 225
Fermi-level density of states ... 0.00 states/eV/f.u.
Formation energy without anion corrections ... -15.640 eV per formula unit
Offset from the most stable computed form ... 24 meV per atom



Entry from Alexandria: an optimized crystal structure of CsRb2SbCl6 (GGA-PBE).

```
CsRb2SbCl6
1.0
-7.761 -1.909 1.418
-3.753 -5.475 -4.674
-1.803 -7.532 3.221
Cs Rb Sb Cl
1 2 1 6
direct
0.812 0.812 0.564
0.534 0.534 0.398
0.021 0.021 0.937
0.323 0.323 0.030
0.559 0.216 0.236
0.216 0.989 0.236
0.989 0.559 0.236
0.415 0.652 0.793
0.652 0.140 0.793
0.140 0.415 0.793
```

SG ... No. 146
Fermi-level density of states ... 0.00 states/eV/f.u.
Formation energy without anion corrections ... -15.581 eV per formula unit
Offset from the most stable computed form ... 0 meV per atom



Entry from Alexandria: an optimized crystal structure of CsRbSbCl6 (GGA-PBE).

```
CsRbSbCl6
1.0
-6.684 -4.189 -0.305
-0.462 -6.969 3.678
-2.292 3.231 5.836
Cs Rb Sb Cl
1 1 1 6
direct
0.000 0.000 0.000
0.667 0.667 0.500
0.333 0.333 0.500
0.070 0.334 0.290
0.334 0.070 0.710
0.596 0.334 0.710
0.070 0.596 0.710
0.334 0.596 0.290
0.596 0.070 0.290
```

SG ... No. 149
Fermi-level density of states ... 4.85 states/eV/f.u.
Formation energy without anion corrections ... -11.813 eV per formula unit



Entry from Alexandria: an optimized crystal structure of Cs2RbSbCl6 (GGA-PBE).

```
Cs2RbSbCl6
1.0
-6.426 0.887 4.689
-2.801 -7.466 -2.426
5.696 -4.946 8.648
Cs Rb Sb Cl
4 2 2 12
direct
0.017 0.939 0.249
0.517 0.561 0.749
0.983 0.061 0.751
0.483 0.439 0.251
0.500 0.000 0.000
0.000 0.500 0.500
0.500 0.000 0.500
0.000 0.500 0.000
0.272 0.680 0.043
0.772 0.820 0.543
0.728 0.320 0.957
0.228 0.180 0.457
0.326 0.732 0.451
0.826 0.768 0.951
0.674 0.268 0.549
0.174 0.232 0.049
0.913 0.526 0.224
0.413 0.974 0.724
0.087 0.474 0.776
0.587 0.026 0.276
```

SG ... No. 14
Fermi-level density of states ... 0.00 states/eV/f.u.
Formation energy without anion corrections ... -15.883 eV per formula unit
Offset from the most stable computed form ... 0 meV per atom



Entry from Alexandria: an optimized crystal structure of CsRb2SbCl6 (GGA-PBE).

```
CsRb2SbCl6
1.0
8.365 0.000 0.000
4.183 7.245 0.000
4.183 2.415 6.830
Cs Rb Sb Cl
1 2 1 6
direct
0.500 0.500 0.500
0.750 0.750 0.750
0.250 0.250 0.250
0.000 0.000 0.000
0.775 0.225 0.225
0.225 0.225 0.775
0.225 0.775 0.775
0.225 0.775 0.225
0.775 0.225 0.775
0.775 0.775 0.225
```

SG ... No. 225
Fermi-level density of states ... 0.00 states/eV/f.u.
Formation energy without anion corrections ... -14.853 eV per formula unit
Offset from the most stable computed form ... 73 meV per atom